Density functional theory data (PBE) for a relaxed TaAgIr2 crystal.

Unit cell a=4.6793 b=4.6793 c=3.0145 alpha=90.00 beta=90.00 gamma=103.87
Fractional coordinates of all 4 atoms:
Ir (0.0000, 0.0000, 0.0000)
Ir (0.5000, 0.5000, 0.0000)
Ag (0.0000, 0.5000, 0.5000)
Ta (0.5000, 0.0000, 0.5000)

Computed properties:
ρ in Mg/m³: 17.45
Energy of formation from the pure elements in eV per atom: -0.0266
D(E_F) in states/eV/atom: 1.1254
Excess energy over the best structure of this formula in the dataset in meV/atom: 184

Density functional theory data (PBE) for a relaxed Ta4AgIr crystal.

Unit cell a=5.3624 b=5.3624 c=5.3624 alpha=60.00 beta=60.00 gamma=60.00
Fractional coordinates of all 6 atoms:
Ir (0.0000, 0.0000, 0.0000)
Ta (0.8755, 0.3748, 0.3748)
Ta (0.3748, 0.8755, 0.3748)
Ta (0.3748, 0.3748, 0.8755)
Ta (0.3748, 0.3748, 0.3748)
Ag (0.7500, 0.7500, 0.7500)

Computed properties:
ρ in Mg/m³: 15.59
Energy of formation from the pure elements in eV per atom: 0.3992
D(E_F) in states/eV/atom: 0.7615

Density functional theory data (PBE) for a relaxed TaAgIr2 crystal.

Unit cell a=2.8082 b=4.0835 c=5.5564 alpha=90.00 beta=90.00 gamma=90.00
Fractional coordinates of all 4 atoms:
Ir (0.5000, 0.5000, 0.2572)
Ir (0.0000, 0.0000, 0.9988)
Ag (0.5000, 0.5000, 0.7593)
Ta (0.0000, 0.0000, 0.4847)

Computed properties:
ρ in Mg/m³: 17.55
Energy of formation from the pure elements in eV per atom: -0.0318
D(E_F) in states/eV/atom: 0.6830
Excess energy over the best structure of this formula in the dataset in meV/atom: 179

Density functional theory data (PBE) for a relaxed TaAgIr2 crystal.

Unit cell a=4.9749 b=4.9749 c=4.9749 alpha=133.62 beta=133.65 gamma=67.66
Fractional coordinates of all 4 atoms:
Ag (0.2500, 0.7500, 0.5000)
Ir (0.7500, 0.2500, 0.5000)
Ir (0.0000, 0.0000, 0.0000)
Ta (0.5000, 0.5000, 0.0000)

Computed properties:
ρ in Mg/m³: 17.63
Energy of formation from the pure elements in eV per atom: -0.0854
D(E_F) in states/eV/atom: 0.9820
Excess energy over the best structure of this formula in the dataset in meV/atom: 125

Density functional theory data (PBE) for a relaxed TaAgIr2 crystal.

Unit cell a=3.0523 b=3.5525 c=5.9586 alpha=90.00 beta=90.00 gamma=90.00
Fractional coordinates of all 4 atoms:
Ir (0.0000, 0.0000, 0.0112)
Ir (0.0000, 0.0000, 0.4888)
Ta (0.5000, 0.5000, 0.2500)
Ag (0.5000, 0.5000, 0.7500)

Computed properties:
ρ in Mg/m³: 17.30
Energy of formation from the pure elements in eV per atom: -0.2070
D(E_F) in states/eV/atom: 0.4228
Excess energy over the best structure of this formula in the dataset in meV/atom: 4

Density functional theory data (PBE) for a relaxed TaAgIr2 crystal.

Unit cell a=7.2002 b=7.2002 c=5.8036 alpha=51.66 beta=51.66 gamma=90.00
Fractional coordinates of all 8 atoms:
Ir (0.0937, 0.6250, 0.2500)
Ir (0.6563, 0.1250, 0.2500)
Ir (0.3750, 0.3437, 0.7500)
Ir (0.8750, 0.9063, 0.7500)
Ta (0.0000, 0.0000, 0.0000)
Ta (0.7500, 0.2500, 0.5000)
Ag (0.5000, 0.5000, 0.0000)
Ag (0.2500, 0.7500, 0.5000)

Computed properties:
ρ in Mg/m³: 15.48
Energy of formation from the pure elements in eV per atom: 0.2629
D(E_F) in states/eV/atom: 0.1626
Excess energy over the best structure of this formula in the dataset in meV/atom: 474

Density functional theory data (PBE) for a relaxed TaAgIr2 crystal.

Unit cell a=4.8319 b=4.8319 c=4.9465 alpha=80.01 beta=80.01 gamma=34.19
Fractional coordinates of all 4 atoms:
Ta (0.7500, 0.7500, 0.7500)
Ir (0.4935, 0.4935, 0.5053)
Ir (0.0065, 0.0065, 0.9947)
Ag (0.2500, 0.2500, 0.2500)

Computed properties:
ρ in Mg/m³: 17.52
Energy of formation from the pure elements in eV per atom: -0.0278
D(E_F) in states/eV/atom: 1.0155
Excess energy over the best structure of this formula in the dataset in meV/atom: 183

Density functional theory data (PBE) for a relaxed TaAgIr2 crystal.

Unit cell a=9.6095 b=9.6095 c=9.6095 alpha=16.78 beta=16.78 gamma=16.78
Last column: magnetic moment on the atom in μB.
Fractional coordinates of all 4 atoms:
Ir (0.9963, 0.9963, 0.9963)  0.35
Ir (0.2514, 0.2514, 0.2514)  0.08
Ag (0.7480, 0.7480, 0.7480)  0.01
Ta (0.5043, 0.5043, 0.5043)  0.01

Computed properties:
ρ in Mg/m³: 17.33
Energy of formation from the pure elements in eV per atom: 0.1399
D(E_F) in states/eV/atom: 1.2667
Excess energy over the best structure of this formula in the dataset in meV/atom: 351

> Which value of ρ does entry 6 give?

15.48 Mg/m³

> Among the records above, which one has the lowest energy of formation from the pure elements?

number 5

> Number 3 is which compound?

TaAgIr2

> Which of these has the highest ρ?

number 4